(1)
A plane-wave DFT calculation with PBE was carried out for a relaxed ThMnNiGe2 crystal. Values from VASP.

The structure in Quantum ESPRESSO input format:
```
&SYSTEM
  ibrav = 0, nat = 5, ntyp = 4
/
ATOMIC_SPECIES
Ge 72.64 Ge.upf
Ni 58.69 Ni.upf
Mn 54.94 Mn.upf
Th 232.04 Th.upf
ATOMIC_POSITIONS angstrom
Ge 1.724 -2.299 2.431
Ni 2.266 -2.357 0.112
Ge 0.256 -3.028 -0.976
Mn -0.286 -2.970 1.343
Th 0.000 0.000 0.000
CELL_PARAMETERS angstrom
-2.908 -2.824 -0.608
2.195 -1.600 -3.070
2.693 -0.903 5.133
```

Summary:
As for the calculated formation energy: -2.6 eV/f.u. As for the energy: -34.167 eV/cell. For the spin magnetization, the calculation gives 0.00 μB per cell.



(2)
A plane-wave DFT calculation with PBE was carried out for a relaxed Th2MnNi4Ge3 crystal. Values from VASP.

The structure in Quantum ESPRESSO input format:
```
&SYSTEM
  ibrav = 0, nat = 10, ntyp = 4
/
ATOMIC_SPECIES
Ge 72.64 Ge.upf
Mn 54.94 Mn.upf
Ni 58.69 Ni.upf
Th 232.04 Th.upf
ATOMIC_POSITIONS angstrom
Ge 2.067 0.000 8.568
Mn 2.067 2.067 4.907
Ni 0.000 0.000 0.000
Th 2.067 0.000 2.412
Ge 0.000 0.000 4.907
Th 0.000 2.067 7.402
Ni 0.000 2.067 3.619
Ni 2.067 0.000 6.196
Ni 2.067 2.067 0.000
Ge 0.000 2.067 1.247
CELL_PARAMETERS angstrom
4.134 0.000 0.000
0.000 4.134 0.000
0.000 0.000 9.815
```

Summary:
As for the calculated formation energy: -6.1 eV/f.u. As for the energy: -67.048 eV/cell. For the spin magnetization, the calculation gives 3.44 μB per cell.



(3)
A plane-wave DFT calculation with PBE was carried out for a relaxed TmMnNiGe2 crystal. Values from VASP.

The structure in Quantum ESPRESSO input format:
```
&SYSTEM
  ibrav = 0, nat = 5, ntyp = 4
/
ATOMIC_SPECIES
Mn 54.94 Mn.upf
Tm 168.93 Tm.upf
Ge 72.64 Ge.upf
Ni 58.69 Ni.upf
ATOMIC_POSITIONS angstrom
Mn 0.497 -0.493 3.190
Tm 0.000 0.000 0.000
Ge 1.150 -2.725 2.554
Ni -1.144 -2.410 1.885
Ge -1.797 -0.178 2.521
CELL_PARAMETERS angstrom
-0.521 2.605 3.014
-3.804 -1.228 0.403
3.679 -4.281 1.658
```

Summary:
As for the calculated formation energy: -2.6 eV/f.u. As for the energy: -31.305 eV/cell. For the spin magnetization, the calculation gives 3.30 μB per cell.



(4)
A plane-wave DFT calculation with PBE was carried out for a relaxed Tm2MnNi4Ge3 crystal. Values from VASP.

The structure in Quantum ESPRESSO input format:
```
&SYSTEM
  ibrav = 0, nat = 10, ntyp = 4
/
ATOMIC_SPECIES
Ni 58.69 Ni.upf
Tm 168.93 Tm.upf
Ge 72.64 Ge.upf
Mn 54.94 Mn.upf
ATOMIC_POSITIONS angstrom
Ni 0.000 0.000 0.000
Ni 0.419 -1.973 6.449
Ni -2.639 -0.697 0.560
Tm 1.106 -4.882 6.064
Ge 1.105 -2.989 8.420
Mn -1.142 -2.911 4.857
Tm -0.751 -0.242 3.090
Ni -0.065 -3.151 2.704
Ge 1.497 -2.214 4.297
Ge -0.751 -2.136 0.734
CELL_PARAMETERS angstrom
-2.986 1.710 1.921
-2.292 -3.104 -0.801
2.993 -4.428 8.593
```

Summary:
As for the calculated formation energy: -5.8 eV/f.u. As for the energy: -60.843 eV/cell. For the spin magnetization, the calculation gives 3.30 μB per cell.



(5)
A plane-wave DFT calculation with PBE was carried out for a relaxed Tm2MnNi3Ge4 crystal. Values from VASP.

The structure in Quantum ESPRESSO input format:
```
&SYSTEM
  ibrav = 0, nat = 10, ntyp = 4
/
ATOMIC_SPECIES
Ge 72.64 Ge.upf
Tm 168.93 Tm.upf
Ni 58.69 Ni.upf
Mn 54.94 Mn.upf
ATOMIC_POSITIONS angstrom
Ge 2.000 0.000 6.448
Ge 0.000 2.000 3.628
Ge 2.000 2.000 0.000
Tm 0.000 2.000 7.600
Tm 2.000 0.000 2.475
Ni 0.000 2.000 1.294
Ni 2.000 0.000 8.782
Ni 0.000 0.000 5.038
Ge 0.000 0.000 0.000
Mn 2.000 2.000 5.038
CELL_PARAMETERS angstrom
4.000 0.000 0.000
0.000 4.000 0.000
0.000 0.000 10.076
```

Summary:
As for the calculated formation energy: -6.0 eV/f.u. As for the energy: -59.961 eV/cell. For the spin magnetization, the calculation gives 2.74 μB per cell.



(6)
A plane-wave DFT calculation with PBE was carried out for a relaxed U2MnNi4Ge3 crystal. Values from VASP.

The structure in Quantum ESPRESSO input format:
```
&SYSTEM
  ibrav = 0, nat = 10, ntyp = 4
/
ATOMIC_SPECIES
Ge 72.64 Ge.upf
U 238.03 U.upf
Ni 58.69 Ni.upf
Mn 54.94 Mn.upf
ATOMIC_POSITIONS angstrom
Ge 0.000 0.000 5.017
U 0.000 1.975 7.507
Ge 0.000 1.975 1.311
U 1.975 0.000 2.526
Ni 0.000 1.975 3.636
Mn 1.975 1.975 5.017
Ni 1.975 1.975 0.000
Ni 0.000 0.000 0.000
Ge 1.975 0.000 8.722
Ni 1.975 0.000 6.397
CELL_PARAMETERS angstrom
3.951 0.000 0.000
0.000 3.951 0.000
0.000 0.000 10.033
```

Summary:
As for the calculated formation energy: -3.0 eV/f.u. As for the energy: -71.764 eV/cell. For the spin magnetization, the calculation gives 6.38 μB per cell.